(1)
This record from Alexandria describes Cd2Re after structural relaxation. The functional is PBE.

Summary:
Total magnetic moment, μB per formula unit: 0.00
V, Å³/f.u.: 58
Offset from the most stable computed form, eV per formula unit: 0.05
ΔE_f, meV/atom: 437

Lattice parameters (Å, degrees): 5.653 5.653 7.126 106.20 106.20 32.13
Sites, in units of the cell vectors:
1 Cd 0.000 0.000 0.000
2 Cd 0.021 0.021 0.599
3 Cd 0.304 0.304 0.678
4 Cd 0.641 0.641 0.340
5 Re 0.347 0.347 0.241
6 Re 0.733 0.733 0.989

***

(2)
This record from Alexandria describes Cd3Re after structural relaxation. The functional is PBE.

Summary:
Total magnetic moment, μB per formula unit: 0.09
V, Å³/f.u.: 75
Offset from the most stable computed form, eV per formula unit: 0.84
ΔE_f, meV/atom: 601

Lattice parameters (Å, degrees): 9.333 9.333 9.333 154.49 154.49 36.39
Sites, in units of the cell vectors:
1 Cd 0.000 0.500 0.500
2 Cd 0.127 0.127 0.000
3 Cd 0.250 0.750 0.500
4 Cd 0.500 0.000 0.500
5 Cd 0.750 0.250 0.500
6 Cd 0.873 0.873 0.000
7 Re 0.382 0.382 0.000
8 Re 0.618 0.618 0.000

***

(3)
This record from Alexandria describes CdRe after structural relaxation. The functional is PBE.

Summary:
Total magnetic moment, μB per formula unit: 0.00
V, Å³/f.u.: 36
Offset from the most stable computed form, eV per formula unit: 1.27
ΔE_f, meV/atom: 860

Lattice parameters (Å, degrees): 2.801 2.801 10.562 90.00 90.00 120.00
Sites, in units of the cell vectors:
1 Cd 0.333 0.667 0.000
2 Cd 0.667 0.333 0.500
3 Re 0.333 0.667 0.264
4 Re 0.667 0.333 0.764

***

(4)
This record from Alexandria describes Cd8Re after structural relaxation. The functional is PBE.

Summary:
Total magnetic moment, μB per formula unit: 1.39
V, Å³/f.u.: 186
ΔE_f, meV/atom: 319

Lattice parameters (Å, degrees): 6.954 6.954 6.954 95.34 95.34 144.46
Sites, in units of the cell vectors:
1 Cd 0.000 0.326 0.326
2 Cd 0.000 0.674 0.674
3 Cd 0.326 0.000 0.326
4 Cd 0.339 0.339 0.679
5 Cd 0.339 0.661 0.000
6 Cd 0.661 0.339 0.000
7 Cd 0.661 0.661 0.321
8 Cd 0.674 0.000 0.674
9 Re 0.000 0.000 0.000

***

(5)
This record from Alexandria describes CdRe3 after structural relaxation. The functional is PBE.

Summary:
Total magnetic moment, μB per formula unit: 0.00
V, Å³/f.u.: 64
Offset from the most stable computed form, eV per formula unit: 1.98
ΔE_f, meV/atom: 769

Lattice parameters (Å, degrees): 3.991 3.991 3.991 90.00 90.00 90.00
Sites, in units of the cell vectors:
1 Cd 0.000 0.000 0.000
2 Re 0.000 0.500 0.500
3 Re 0.500 0.000 0.500
4 Re 0.500 0.500 0.000

***

(6)
This record from Alexandria describes CdRe2 after structural relaxation. The functional is PBE.

Summary:
Total magnetic moment, μB per formula unit: 0.00
V, Å³/f.u.: 52
Offset from the most stable computed form, eV per formula unit: 0.64
ΔE_f, meV/atom: 474

Lattice parameters (Å, degrees): 6.234 6.234 4.265 90.00 90.00 141.13
Sites, in units of the cell vectors:
1 Cd 0.073 0.927 0.750
2 Cd 0.927 0.073 0.250
3 Re 0.250 0.750 0.250
4 Re 0.377 0.623 0.750
5 Re 0.623 0.377 0.250
6 Re 0.750 0.250 0.750